Entry 1:
# Ba3Fe2RuO8

A geometry-optimized Ba3Fe2RuO8 structure (GGA+U, Alexandria).

The structure belongs to space group P-3m1 (No. 164); the cell edges are 5.8159, 5.8159 and 7.5278 Å and the angles 90.00°, 90.00° and 120.00°. The inequivalent atoms are Ba at (0.0000, 0.0000, 0.0000), Ba at (0.3333, 0.6667, 0.6546), Fe at (0.3333, 0.6667, 0.2246), Ru at (0.0000, 0.0000, 0.5000), O at (0.1606, 0.3212, 0.3357) and O at (0.3333, 0.6667, 0.9858).

The value obtained for the volume is 15.75 A^3/atom. The density of states at the Fermi level comes out at 3.32 states/eV per cell. The calculation puts the total DFT energy (no corrections) at -6.59 eV per atom.

=====

Entry 2:
# Ba3FeRu2O9

A geometry-optimized Ba3FeRu2O9 structure (GGA+U, Alexandria).

The structure belongs to space group P6_3/mmc (No. 194); the cell edges are 5.8105, 5.8105 and 14.1456 Å and the angles 90.00°, 90.00° and 120.00°. The inequivalent atoms are Ba at (0.0000, 0.0000, 0.2500), Ba at (0.3333, 0.6667, 0.0879), Fe at (0.0000, 0.0000, 0.0000), Ru at (0.3333, 0.6667, 0.6607), O at (0.0176, 0.5088, 0.7500) and O at (0.1689, 0.3378, 0.5822).

The value obtained for the volume is 13.79 A^3/atom. The density of states at the Fermi level comes out at 10.64 states/eV per cell. The calculation puts the total DFT energy (no corrections) at -6.83 eV per atom. As for the energy relative to the lowest polymorph listed for this composition: 0.000 eV per atom.

=====

Entry 3:
# Ba3Fe2RuO9

A geometry-optimized Ba3Fe2RuO9 structure (GGA+U, Alexandria).

The structure belongs to space group P-3m1 (No. 164); the cell edges are 5.7612, 5.7612 and 7.0715 Å and the angles 90.00°, 90.00° and 120.00°. The inequivalent atoms are Ba at (0.0000, 0.0000, 0.0000), Ba at (0.3333, 0.6667, 0.6700), Fe at (0.3333, 0.6667, 0.1508), Ru at (0.0000, 0.0000, 0.5000), O at (0.0000, 0.5000, 0.0000) and O at (0.1618, 0.3235, 0.3405).

The value obtained for the volume is 13.55 A^3/atom. The density of states at the Fermi level comes out at 7.22 states/eV per cell. The calculation puts the total DFT energy (no corrections) at -6.62 eV per atom.

=====

Entry 4:
# Ba3FeRu2O9

A geometry-optimized Ba3FeRu2O9 structure (GGA+U, Alexandria).

The structure belongs to space group P6_3mc (No. 186); the cell edges are 5.8028, 5.8028 and 14.2186 Å and the angles 90.00°, 90.00° and 120.00°. The inequivalent atoms are Ba at (0.0000, 0.0000, 0.0000), Ba at (0.3333, 0.6667, 0.1536), Ba at (0.3333, 0.6667, 0.8416), Fe at (0.3333, 0.6667, 0.5971), Ru at (0.0000, 0.0000, 0.2491), Ru at (0.3333, 0.6667, 0.4057), O at (0.0292, 0.5146, 0.4946), O at (0.1628, 0.3257, 0.6679) and O at (0.1657, 0.3315, 0.3279).

The value obtained for the volume is 13.82 A^3/atom. The density of states at the Fermi level comes out at 18.75 states/eV per cell. The calculation puts the total DFT energy (no corrections) at -6.82 eV per atom. As for the energy relative to the lowest polymorph listed for this composition: 0.013 eV per atom.

=====

Entry 5:
# BaFe2Ru2O7

A geometry-optimized BaFe2Ru2O7 structure (GGA+U, Alexandria).

The structure belongs to space group Imm2 (No. 44); the cell edges are 3.784, 18.611 and 4.294 Å and the angles 90.00°, 90.00° and 90.00°. The inequivalent atoms are Ba at (0.000, 0.000, 0.000), Fe at (0.000, 0.276, 0.508), Ru at (0.000, 0.390, 0.006), O at (0.000, 0.110, 0.502), O at (0.000, 0.277, 0.008), O at (0.000, 0.384, 0.497) and O at (0.000, 0.500, 0.967).

The value obtained for the volume is 12.60 A^3/atom. The density of states at the Fermi level comes out at 12.75 states/eV per cell. The calculation puts the total DFT energy (no corrections) at -6.86 eV per atom.

=====

Entry 6:
# BaFe2S2O

A geometry-optimized BaFe2S2O structure (GGA+U, Alexandria).

The structure belongs to space group P2_1 (No. 4); the cell edges are 6.674, 4.114 and 9.944 Å and the angles 90.00°, 90.11° and 90.00°. The inequivalent atoms are Ba at (0.030, 0.000, 0.250), Fe at (0.369, 0.990, 0.918), Fe at (0.371, 0.993, 0.583), S at (0.268, 0.497, 0.042), S at (0.268, 0.499, 0.460) and O at (0.221, 0.003, 0.750).

The value obtained for the volume is 22.75 A^3/atom. The density of states at the Fermi level comes out at 0.00 states/eV per cell. The calculation puts the total DFT energy (no corrections) at -5.75 eV per atom.

=====

Entry 7:
# BaFeS2O8

A geometry-optimized BaFeS2O8 structure (GGA+U, Alexandria).

The structure belongs to space group R-3 (No. 148, hexagonal axes); the cell edges are 4.9837, 4.9837 and 22.6464 Å and the angles 90.00°, 90.00° and 120.00°. The inequivalent atoms are Ba at (0.0000, 0.0000, 0.0000), Fe at (0.0000, 0.0000, 0.5000), S at (0.0000, 0.0000, 0.2437), O at (0.0000, 0.0000, 0.3099) and O at (0.0190, 0.2940, 0.2238).

The value obtained for the volume is 13.53 A^3/atom. The density of states at the Fermi level comes out at 20.25 states/eV per cell. The calculation puts the total DFT energy (no corrections) at -6.37 eV per atom.

=====

Entry 8:
# Ba3FeSb2O6

A geometry-optimized Ba3FeSb2O6 structure (GGA+U, Alexandria).

The structure belongs to space group P-3m1 (No. 164); the cell edges are 5.9650, 5.9650 and 7.0344 Å and the angles 90.00°, 90.00° and 120.00°. The inequivalent atoms are Ba at (0.0000, 0.0000, 0.0000), Ba at (0.3333, 0.6667, 0.6433), Fe at (0.0000, 0.0000, 0.5000), Sb at (0.3333, 0.6667, 0.1513) and O at (0.1721, 0.3443, 0.3187).

The value obtained for the volume is 18.06 A^3/atom. The density of states at the Fermi level comes out at 2.80 states/eV per cell. The calculation puts the total DFT energy (no corrections) at -5.98 eV per atom.